A plane-wave DFT calculation with GGA+U was carried out for a geometry-optimized Li3Co4O8 structure.

Results
ΔE to the lowest computed polymorph	0.043	eV/atom
total DFT energy (no corrections)	-84.94	eV for the cell shown
DOS at the Fermi energy	2.94	states/eV per cell

a b c (Å): 5.689 5.689 5.069
angles (deg): 105.73 105.73 60.34
Sites, in units of the cell vectors:
1 Li 0.000 0.000 0.000
2 Li 0.000 0.500 0.000
3 Li 0.500 0.000 0.000
4 Co 0.251 0.251 0.508
5 Co 0.251 0.749 0.500
6 Co 0.749 0.251 0.500
7 Co 0.749 0.749 0.492
8 O 0.110 0.625 0.705
9 O 0.121 0.121 0.727
10 O 0.375 0.890 0.295
11 O 0.376 0.376 0.289
12 O 0.624 0.624 0.711
13 O 0.625 0.110 0.705
14 O 0.879 0.879 0.273
15 O 0.890 0.375 0.295